DFT (PBE-GGA) results for a geometry-optimized Ho2LuFe6Co3 structure.

Results
ΔE_f   -138 meV/atom
Total energy   -86.50 eV/cell
Symmetry   No. 166

a = 8.5953 Å, b = 8.5953 Å, c = 8.5953 Å
α = 33.91°, β = 33.91°, γ = 33.91°
Atoms (fractional coordinates):
Ho (0.1419, 0.1419, 0.1419)
Ho (0.8581, 0.8581, 0.8581)
Lu (0.0000, 0.0000, 0.0000)
Fe (0.0813, 0.5816, 0.5816)
Fe (0.4184, 0.4184, 0.9187)
Fe (0.4184, 0.9187, 0.4184)
Fe (0.5816, 0.0813, 0.5816)
Fe (0.5816, 0.5816, 0.0813)
Fe (0.9187, 0.4184, 0.4184)
Co (0.3325, 0.3325, 0.3325)
Co (0.5000, 0.5000, 0.5000)
Co (0.6675, 0.6675, 0.6675)

=====

DFT (PBE-GGA) results for a geometry-optimized HoLu2Fe8Co structure.

Results
ΔE_f   -149 meV/atom
Total energy   -88.99 eV/cell
Symmetry   No. 166

a = 8.5114 Å, b = 8.5114 Å, c = 8.5114 Å
α = 34.29°, β = 34.29°, γ = 34.29°
Atoms (fractional coordinates):
Ho (0.0000, 0.0000, 0.0000)
Lu (0.1423, 0.1423, 0.1423)
Lu (0.8577, 0.8577, 0.8577)
Fe (0.0816, 0.5831, 0.5831)
Fe (0.3330, 0.3330, 0.3330)
Fe (0.4169, 0.4169, 0.9184)
Fe (0.4169, 0.9184, 0.4169)
Fe (0.5831, 0.0816, 0.5831)
Fe (0.5831, 0.5831, 0.0816)
Fe (0.6670, 0.6670, 0.6670)
Fe (0.9184, 0.4169, 0.4169)
Co (0.5000, 0.5000, 0.5000)

=====

DFT (PBE-GGA) results for a geometry-optimized HoLu2FeCo8 structure.

Results
ΔE_f   -228 meV/atom
Total energy   -81.52 eV/cell
Symmetry   No. 166

a = 8.4321 Å, b = 8.4321 Å, c = 8.4321 Å
α = 34.27°, β = 34.27°, γ = 34.27°
Atoms (fractional coordinates):
Ho (0.0000, 0.0000, 0.0000)
Lu (0.1401, 0.1401, 0.1401)
Lu (0.8599, 0.8599, 0.8599)
Fe (0.5000, 0.5000, 0.5000)
Co (0.0787, 0.5848, 0.5848)
Co (0.3345, 0.3345, 0.3345)
Co (0.4152, 0.4152, 0.9213)
Co (0.4152, 0.9213, 0.4152)
Co (0.5848, 0.0787, 0.5848)
Co (0.5848, 0.5848, 0.0787)
Co (0.6656, 0.6656, 0.6656)
Co (0.9213, 0.4152, 0.4152)

=====

DFT (PBE-GGA) results for a geometry-optimized Ho3Fe2CoNi6 structure.

Results
ΔE_f   -316 meV/atom
Total energy   -74.65 eV/cell
Symmetry   No. 166

a = 8.5617 Å, b = 8.5617 Å, c = 8.5617 Å
α = 33.64°, β = 33.64°, γ = 33.64°
Atoms (fractional coordinates):
Ho (0.0000, 0.0000, 0.0000)
Ho (0.1394, 0.1394, 0.1394)
Ho (0.8606, 0.8606, 0.8606)
Fe (0.3329, 0.3329, 0.3329)
Fe (0.6671, 0.6671, 0.6671)
Co (0.5000, 0.5000, 0.5000)
Ni (0.0833, 0.5808, 0.5808)
Ni (0.4192, 0.4192, 0.9167)
Ni (0.4192, 0.9167, 0.4192)
Ni (0.5808, 0.0833, 0.5808)
Ni (0.5808, 0.5808, 0.0833)
Ni (0.9167, 0.4192, 0.4192)

=====

DFT (PBE-GGA) results for a geometry-optimized Ho3Fe6CoNi2 structure.

Results
ΔE_f   -160 meV/atom
Total energy   -83.75 eV/cell
Symmetry   No. 166

a = 8.7002 Å, b = 8.7002 Å, c = 8.7002 Å
α = 33.20°, β = 33.20°, γ = 33.20°
Atoms (fractional coordinates):
Ho (0.0000, 0.0000, 0.0000)
Ho (0.1416, 0.1416, 0.1416)
Ho (0.8584, 0.8584, 0.8584)
Fe (0.0818, 0.5826, 0.5826)
Fe (0.4174, 0.4174, 0.9182)
Fe (0.4174, 0.9182, 0.4174)
Fe (0.5826, 0.0818, 0.5826)
Fe (0.5826, 0.5826, 0.0818)
Fe (0.9182, 0.4174, 0.4174)
Co (0.5000, 0.5000, 0.5000)
Ni (0.3329, 0.3329, 0.3329)
Ni (0.6671, 0.6671, 0.6671)

=====

DFT (PBE-GGA) results for a geometry-optimized YHo2FeCo2Ni6 structure.

Results
ΔE_f   -284 meV/atom
Total energy   -74.96 eV/cell
Symmetry   No. 166

a = 8.5220 Å, b = 8.5220 Å, c = 8.5220 Å
α = 33.86°, β = 33.86°, γ = 33.86°
Atoms (fractional coordinates):
Y (0.0000, 0.0000, 0.0000)
Ho (0.1387, 0.1387, 0.1387)
Ho (0.8613, 0.8613, 0.8613)
Fe (0.5000, 0.5000, 0.5000)
Co (0.3336, 0.3336, 0.3336)
Co (0.6664, 0.6664, 0.6664)
Ni (0.0826, 0.5825, 0.5825)
Ni (0.4175, 0.4175, 0.9174)
Ni (0.4175, 0.9174, 0.4175)
Ni (0.5825, 0.0826, 0.5825)
Ni (0.5825, 0.5825, 0.0826)
Ni (0.9174, 0.4175, 0.4175)

=====

DFT (PBE-GGA) results for a geometry-optimized Y2HoFe6CoNi2 structure.

Results
ΔE_f   -139 meV/atom
Total energy   -87.27 eV/cell
Symmetry   No. 166

a = 8.7123 Å, b = 8.7123 Å, c = 8.7123 Å
α = 33.22°, β = 33.22°, γ = 33.22°
Atoms (fractional coordinates):
Y (0.1414, 0.1414, 0.1414)
Y (0.8586, 0.8586, 0.8586)
Ho (0.0000, 0.0000, 0.0000)
Fe (0.0819, 0.5819, 0.5819)
Fe (0.4181, 0.4181, 0.9181)
Fe (0.4181, 0.9181, 0.4181)
Fe (0.5819, 0.0819, 0.5819)
Fe (0.5819, 0.5819, 0.0819)
Fe (0.9181, 0.4181, 0.4181)
Co (0.5000, 0.5000, 0.5000)
Ni (0.3328, 0.3328, 0.3328)
Ni (0.6672, 0.6672, 0.6672)

=====

DFT (PBE-GGA) results for a geometry-optimized Y2HoFeCo6Ni2 structure.

Results
ΔE_f   -203 meV/atom
Total energy   -82.02 eV/cell
Symmetry   No. 166

a = 8.5547 Å, b = 8.5547 Å, c = 8.5547 Å
α = 33.85°, β = 33.85°, γ = 33.85°
Atoms (fractional coordinates):
Y (0.1390, 0.1390, 0.1390)
Y (0.8610, 0.8610, 0.8610)
Ho (0.0000, 0.0000, 0.0000)
Fe (0.5000, 0.5000, 0.5000)
Co (0.0802, 0.5826, 0.5826)
Co (0.4174, 0.4174, 0.9198)
Co (0.4174, 0.9198, 0.4174)
Co (0.5826, 0.0802, 0.5826)
Co (0.5826, 0.5826, 0.0802)
Co (0.9198, 0.4174, 0.4174)
Ni (0.3336, 0.3336, 0.3336)
Ni (0.6664, 0.6664, 0.6664)

=====

DFT (PBE-GGA) results for a geometry-optimized Y2HoFe6Co2Ni structure.

Results
ΔE_f   -111 meV/atom
Total energy   -88.47 eV/cell
Symmetry   No. 166

a = 8.7016 Å, b = 8.7016 Å, c = 8.7016 Å
α = 33.41°, β = 33.41°, γ = 33.41°
Atoms (fractional coordinates):
Y (0.1416, 0.1416, 0.1416)
Y (0.8584, 0.8584, 0.8584)
Ho (0.0000, 0.0000, 0.0000)
Fe (0.0797, 0.5813, 0.5813)
Fe (0.4187, 0.4187, 0.9203)
Fe (0.4187, 0.9203, 0.4187)
Fe (0.5813, 0.0797, 0.5813)
Fe (0.5813, 0.5813, 0.0797)
Fe (0.9203, 0.4187, 0.4187)
Co (0.3328, 0.3328, 0.3328)
Co (0.6672, 0.6672, 0.6672)
Ni (0.5000, 0.5000, 0.5000)

=====

DFT (PBE-GGA) results for a geometry-optimized Y2HoFe2CoNi6 structure.

Results
ΔE_f   -296 meV/atom
Total energy   -78.18 eV/cell
Symmetry   No. 166

a = 8.6001 Å, b = 8.6001 Å, c = 8.6001 Å
α = 33.57°, β = 33.57°, γ = 33.57°
Atoms (fractional coordinates):
Y (0.1394, 0.1394, 0.1394)
Y (0.8606, 0.8606, 0.8606)
Ho (0.0000, 0.0000, 0.0000)
Fe (0.3327, 0.3327, 0.3327)
Fe (0.6673, 0.6673, 0.6673)
Co (0.5000, 0.5000, 0.5000)
Ni (0.0835, 0.5798, 0.5798)
Ni (0.4202, 0.4202, 0.9165)
Ni (0.4202, 0.9165, 0.4202)
Ni (0.5798, 0.0835, 0.5798)
Ni (0.5798, 0.5798, 0.0835)
Ni (0.9165, 0.4202, 0.4202)

=====

DFT (PBE-GGA) results for a geometry-optimized YHo2FeCo6Ni2 structure.

Results
ΔE_f   -220 meV/atom
Total energy   -80.34 eV/cell
Symmetry   No. 166

a = 8.5255 Å, b = 8.5255 Å, c = 8.5255 Å
α = 33.88°, β = 33.88°, γ = 33.88°
Atoms (fractional coordinates):
Y (0.0000, 0.0000, 0.0000)
Ho (0.1391, 0.1391, 0.1391)
Ho (0.8609, 0.8609, 0.8609)
Fe (0.5000, 0.5000, 0.5000)
Co (0.0801, 0.5836, 0.5836)
Co (0.4164, 0.4164, 0.9199)
Co (0.4164, 0.9199, 0.4164)
Co (0.5836, 0.0801, 0.5836)
Co (0.5836, 0.5836, 0.0801)
Co (0.9199, 0.4164, 0.4164)
Ni (0.3337, 0.3337, 0.3337)
Ni (0.6663, 0.6663, 0.6663)

=====

DFT (PBE-GGA) results for a geometry-optimized HoFeCoP2 structure.

Results
Total energy   -71.68 eV/cell
Symmetry   No. 119

a = 3.7800 Å, b = 3.7800 Å, c = 9.4595 Å
α = 90.00°, β = 90.00°, γ = 90.00°
Atoms (fractional coordinates):
Ho (0.0000, 0.0000, 0.0000)
Ho (0.5000, 0.5000, 0.5000)
Fe (0.0000, 0.5000, 0.2500)
Fe (0.5000, 0.0000, 0.7500)
Co (0.0000, 0.5000, 0.7500)
Co (0.5000, 0.0000, 0.2500)
P (0.0000, 0.0000, 0.3740)
P (0.0000, 0.0000, 0.6260)
P (0.5000, 0.5000, 0.1260)
P (0.5000, 0.5000, 0.8740)

=====

DFT (PBE-GGA) results for a geometry-optimized HoTm2Fe7Co2 structure.

Results
ΔE_f   -131 meV/atom
Total energy   -87.48 eV/cell
Symmetry   No. 166

a = 8.5817 Å, b = 8.5817 Å, c = 8.5817 Å
α = 33.91°, β = 33.91°, γ = 33.91°
Atoms (fractional coordinates):
Ho (0.0000, 0.0000, 0.0000)
Tm (0.1421, 0.1421, 0.1421)
Tm (0.8579, 0.8579, 0.8579)
Fe (0.0822, 0.5821, 0.5821)
Fe (0.4179, 0.4179, 0.9178)
Fe (0.4179, 0.9178, 0.4179)
Fe (0.5000, 0.5000, 0.5000)
Fe (0.5821, 0.0822, 0.5821)
Fe (0.5821, 0.5821, 0.0822)
Fe (0.9178, 0.4179, 0.4179)
Co (0.3326, 0.3326, 0.3326)
Co (0.6674, 0.6674, 0.6674)

=====

DFT (PBE-GGA) results for a geometry-optimized HoTm2Fe3Co6 structure.

Results
ΔE_f   -216 meV/atom
Total energy   -83.68 eV/cell
Symmetry   No. 166

a = 8.3760 Å, b = 8.3760 Å, c = 8.3760 Å
α = 34.97°, β = 34.97°, γ = 34.97°
Atoms (fractional coordinates):
Ho (0.0000, 0.0000, 0.0000)
Tm (0.1409, 0.1409, 0.1409)
Tm (0.8591, 0.8591, 0.8591)
Fe (0.3339, 0.3339, 0.3339)
Fe (0.5000, 0.5000, 0.5000)
Fe (0.6661, 0.6661, 0.6661)
Co (0.0798, 0.5839, 0.5839)
Co (0.4161, 0.4161, 0.9202)
Co (0.4161, 0.9202, 0.4161)
Co (0.5839, 0.0798, 0.5839)
Co (0.5839, 0.5839, 0.0798)
Co (0.9202, 0.4161, 0.4161)

=====

DFT (PBE-GGA) results for a geometry-optimized Ho2TmFeCo8 structure.

Results
ΔE_f   -192 meV/atom
Total energy   -81.10 eV/cell
Symmetry   No. 166

a = 8.4719 Å, b = 8.4719 Å, c = 8.4719 Å
α = 34.19°, β = 34.19°, γ = 34.19°
Atoms (fractional coordinates):
Ho (0.1394, 0.1394, 0.1394)
Ho (0.8606, 0.8606, 0.8606)
Tm (0.0000, 0.0000, 0.0000)
Fe (0.5000, 0.5000, 0.5000)
Co (0.0794, 0.5829, 0.5829)
Co (0.3339, 0.3339, 0.3339)
Co (0.4171, 0.4171, 0.9206)
Co (0.4171, 0.9206, 0.4171)
Co (0.5829, 0.0795, 0.5829)
Co (0.5829, 0.5829, 0.0794)
Co (0.6661, 0.6661, 0.6661)
Co (0.9206, 0.4171, 0.4171)

=====

DFT (PBE-GGA) results for a geometry-optimized HoTm2Fe8Co structure.

Results
ΔE_f   -134 meV/atom
Total energy   -88.71 eV/cell
Symmetry   No. 166

a = 8.5471 Å, b = 8.5471 Å, c = 8.5471 Å
α = 34.22°, β = 34.22°, γ = 34.22°
Atoms (fractional coordinates):
Ho (0.0000, 0.0000, 0.0000)
Tm (0.1422, 0.1422, 0.1422)
Tm (0.8578, 0.8578, 0.8578)
Fe (0.0814, 0.5827, 0.5827)
Fe (0.3329, 0.3329, 0.3329)
Fe (0.4173, 0.4173, 0.9186)
Fe (0.4173, 0.9186, 0.4173)
Fe (0.5827, 0.0814, 0.5827)
Fe (0.5827, 0.5827, 0.0814)
Fe (0.6671, 0.6671, 0.6671)
Fe (0.9186, 0.4173, 0.4173)
Co (0.5000, 0.5000, 0.5000)

=====

DFT (PBE-GGA) results for a geometry-optimized HoTm2FeCo8 structure.

Results
ΔE_f   -211 meV/atom
Total energy   -81.22 eV/cell
Symmetry   No. 166

a = 8.4549 Å, b = 8.4549 Å, c = 8.4549 Å
α = 34.22°, β = 34.22°, γ = 34.22°
Atoms (fractional coordinates):
Ho (0.0000, 0.0000, 0.0000)
Tm (0.1398, 0.1398, 0.1398)
Tm (0.8602, 0.8602, 0.8602)
Fe (0.5000, 0.5000, 0.5000)
Co (0.0785, 0.5843, 0.5843)
Co (0.3344, 0.3344, 0.3344)
Co (0.4157, 0.4157, 0.9215)
Co (0.4157, 0.9214, 0.4157)
Co (0.5843, 0.0785, 0.5843)
Co (0.5843, 0.5843, 0.0786)
Co (0.6656, 0.6656, 0.6656)
Co (0.9214, 0.4157, 0.4157)

=====

DFT (PBE-GGA) results for a geometry-optimized YHo2Fe2Co7 structure.

Results
ΔE_f   -187 meV/atom
Total energy   -84.22 eV/cell
Symmetry   No. 166

a = 8.4091 Å, b = 8.4091 Å, c = 8.4091 Å
α = 34.84°, β = 34.84°, γ = 34.84°
Atoms (fractional coordinates):
Y (0.0000, 0.0000, 0.0000)
Ho (0.1410, 0.1410, 0.1410)
Ho (0.8590, 0.8590, 0.8590)
Fe (0.3338, 0.3338, 0.3338)
Fe (0.6662, 0.6662, 0.6662)
Co (0.0805, 0.5828, 0.5828)
Co (0.4172, 0.4172, 0.9195)
Co (0.4172, 0.9195, 0.4172)
Co (0.5000, 0.5000, 0.5000)
Co (0.5828, 0.0805, 0.5828)
Co (0.5828, 0.5828, 0.0805)
Co (0.9195, 0.4172, 0.4172)

=====

DFT (PBE-GGA) results for a geometry-optimized Y2HoFe8Co structure.

Results
ΔE_f   -95 meV/atom
Total energy   -92.22 eV/cell
Symmetry   No. 166

a = 8.5780 Å, b = 8.5780 Å, c = 8.5780 Å
α = 34.28°, β = 34.28°, γ = 34.28°
Atoms (fractional coordinates):
Y (0.1418, 0.1418, 0.1418)
Y (0.8582, 0.8582, 0.8582)
Ho (0.0000, 0.0000, 0.0000)
Fe (0.0816, 0.5813, 0.5813)
Fe (0.3328, 0.3328, 0.3328)
Fe (0.4187, 0.4187, 0.9184)
Fe (0.4187, 0.9184, 0.4187)
Fe (0.5813, 0.0816, 0.5813)
Fe (0.5813, 0.5813, 0.0816)
Fe (0.6672, 0.6672, 0.6672)
Fe (0.9184, 0.4187, 0.4187)
Co (0.5000, 0.5000, 0.5000)

=====

DFT (PBE-GGA) results for a geometry-optimized YHo2Fe6Co3 structure.

Results
ΔE_f   -125 meV/atom
Total energy   -88.29 eV/cell
Symmetry   No. 166

a = 8.5974 Å, b = 8.5974 Å, c = 8.5974 Å
α = 34.07°, β = 34.07°, γ = 34.07°
Atoms (fractional coordinates):
Y (0.0000, 0.0000, 0.0000)
Ho (0.1422, 0.1422, 0.1422)
Ho (0.8578, 0.8578, 0.8578)
Fe (0.0816, 0.5820, 0.5820)
Fe (0.4180, 0.4180, 0.9184)
Fe (0.4180, 0.9184, 0.4180)
Fe (0.5820, 0.0816, 0.5820)
Fe (0.5820, 0.5820, 0.0816)
Fe (0.9184, 0.4180, 0.4180)
Co (0.3325, 0.3325, 0.3325)
Co (0.5000, 0.5000, 0.5000)
Co (0.6675, 0.6675, 0.6675)

=====

DFT (PBE-GGA) results for a geometry-optimized Y2HoFe7Co2 structure.

Results
ΔE_f   -91 meV/atom
Total energy   -90.97 eV/cell
Symmetry   No. 166

a = 8.6247 Å, b = 8.6247 Å, c = 8.6247 Å
α = 34.00°, β = 34.00°, γ = 34.00°
Atoms (fractional coordinates):
Y (0.1419, 0.1419, 0.1419)
Y (0.8581, 0.8581, 0.8581)
Ho (0.0000, 0.0000, 0.0000)
Fe (0.0825, 0.5805, 0.5805)
Fe (0.4195, 0.4195, 0.9175)
Fe (0.4195, 0.9175, 0.4195)
Fe (0.5000, 0.5000, 0.5000)
Fe (0.5805, 0.0825, 0.5805)
Fe (0.5805, 0.5805, 0.0825)
Fe (0.9175, 0.4195, 0.4195)
Co (0.3324, 0.3324, 0.3324)
Co (0.6676, 0.6676, 0.6676)